A geometry-optimized Ni2MoWF structure, computed with GGA+U.

Values from the calculation:
The total magnetization comes out at 7.29 Bohr magnetons per cell. Its space-group type is No. 123. For the density of states at the Fermi level, the calculation gives 1.38 states/eV/f.u. The value obtained for the electronic total energy is -3.1127 eV/atom.

Lattice parameters (Å, degrees): 4.9196 4.9196 4.0077 90.00 90.00 90.00
Element x y z (fractional)
Ni: 0.0000 0.5000 0.0000
Ni: 0.5000 0.0000 0.0000
Mo: 0.0000 0.0000 0.5000
W: 0.5000 0.5000 0.0000
F: 0.5000 0.5000 0.5000